No. 1
# LiTmBi, optimized geometry, DFT PBE-GGA
data_LiTmBi
_symmetry_space_group_name_H-M 'P 1'
_symmetry_Int_Tables_number 1
_cell_length_a 4.491
_cell_length_b 4.491
_cell_length_c 4.130
_cell_angle_alpha 90.00
_cell_angle_beta 90.00
_cell_angle_gamma 120.00
loop_
_symmetry_equiv_pos_as_xyz
'x,y,z'
loop_
_atom_site_label
_atom_site_type_symbol
_atom_site_fract_x
_atom_site_fract_y
_atom_site_fract_z
_atom_site_occupancy
Li1 Li 0.000 0.000 0.000 1
Tm1 Tm 0.333 0.667 0.500 1
Bi1 Bi 0.667 0.333 0.000 1
# - Density: 8.9 g/cm3
# - Polymorph energy (0 for the lowest one): 4.6 kJ/mol of atoms


No. 2
# TbPm4Ge5, optimized geometry, DFT PBE-GGA
data_TbPm4Ge5
_symmetry_space_group_name_H-M 'P 1'
_symmetry_Int_Tables_number 1
_cell_length_a 7.350
_cell_length_b 7.350
_cell_length_c 7.350
_cell_angle_alpha 99.56
_cell_angle_beta 99.56
_cell_angle_gamma 131.90
loop_
_symmetry_equiv_pos_as_xyz
'x,y,z'
loop_
_atom_site_label
_atom_site_type_symbol
_atom_site_fract_x
_atom_site_fract_y
_atom_site_fract_z
_atom_site_occupancy
Tb1 Tb 0.000 0.000 0.000 1
Pm1 Pm 0.200 0.599 0.799 1
Pm2 Pm 0.401 0.200 0.601 1
Pm3 Pm 0.599 0.800 0.399 1
Pm4 Pm 0.800 0.401 0.201 1
Ge1 Ge 0.099 0.297 0.396 1
Ge2 Ge 0.297 0.901 0.197 1
Ge3 Ge 0.500 0.500 0.000 1
Ge4 Ge 0.703 0.099 0.803 1
Ge5 Ge 0.901 0.703 0.604 1
# - Density: 6.8 g/cm3


No. 3
# Mg2Zn9Ga3, optimized geometry, DFT PBE-GGA
data_Mg2Zn9Ga3
_symmetry_space_group_name_H-M 'P 1'
_symmetry_Int_Tables_number 1
_cell_length_a 7.611
_cell_length_b 7.611
_cell_length_c 9.087
_cell_angle_alpha 90.00
_cell_angle_beta 90.00
_cell_angle_gamma 65.29
loop_
_symmetry_equiv_pos_as_xyz
'x,y,z'
loop_
_atom_site_label
_atom_site_type_symbol
_atom_site_fract_x
_atom_site_fract_y
_atom_site_fract_z
_atom_site_occupancy
Mg1 Mg 0.039 0.284 0.250 1
Mg2 Mg 0.284 0.039 0.750 1
Mg3 Mg 0.716 0.961 0.250 1
Mg4 Mg 0.961 0.716 0.750 1
Zn1 Zn 0.024 0.641 0.087 1
Zn2 Zn 0.024 0.641 0.413 1
Zn3 Zn 0.153 0.847 0.250 1
Zn4 Zn 0.322 0.678 0.594 1
Zn5 Zn 0.322 0.678 0.906 1
Zn6 Zn 0.342 0.457 0.250 1
Zn7 Zn 0.359 0.976 0.087 1
Zn8 Zn 0.359 0.976 0.413 1
Zn9 Zn 0.457 0.342 0.750 1
Zn10 Zn 0.543 0.658 0.250 1
Zn11 Zn 0.641 0.024 0.587 1
Zn12 Zn 0.641 0.024 0.913 1
Zn13 Zn 0.658 0.543 0.750 1
Zn14 Zn 0.678 0.322 0.094 1
Zn15 Zn 0.678 0.322 0.406 1
Zn16 Zn 0.847 0.153 0.750 1
Zn17 Zn 0.976 0.359 0.587 1
Zn18 Zn 0.976 0.359 0.913 1
Ga1 Ga 0.000 0.000 0.000 1
Ga2 Ga 0.000 0.000 0.500 1
Ga3 Ga 0.317 0.317 0.000 1
Ga4 Ga 0.317 0.317 0.500 1
Ga5 Ga 0.683 0.683 0.000 1
Ga6 Ga 0.683 0.683 0.500 1
# - Density: 5.9 g/cm3


No. 4
# TlFeTe2, optimized geometry, DFT PBE-GGA
data_TlFeTe2
_symmetry_space_group_name_H-M 'P 1'
_symmetry_Int_Tables_number 1
_cell_length_a 5.179
_cell_length_b 3.914
_cell_length_c 6.165
_cell_angle_alpha 90.00
_cell_angle_beta 106.33
_cell_angle_gamma 90.00
loop_
_symmetry_equiv_pos_as_xyz
'x,y,z'
loop_
_atom_site_label
_atom_site_type_symbol
_atom_site_fract_x
_atom_site_fract_y
_atom_site_fract_z
_atom_site_occupancy
Tl1 Tl 0.000 0.000 0.000 1
Fe1 Fe 0.342 0.500 0.835 1
Te1 Te 0.393 0.000 0.580 1
Te2 Te 0.661 0.500 0.222 1
# - Density: 7.1 g/cm3
# - Uncorrected formation energy: 0.176 eV per atom


No. 5
# Sr2PmHg6, optimized geometry, DFT PBE-GGA
data_Sr2PmHg6
_symmetry_space_group_name_H-M 'P 1'
_symmetry_Int_Tables_number 1
_cell_length_a 8.857
_cell_length_b 8.857
_cell_length_c 3.651
_cell_angle_alpha 90.00
_cell_angle_beta 90.00
_cell_angle_gamma 120.00
loop_
_symmetry_equiv_pos_as_xyz
'x,y,z'
loop_
_atom_site_label
_atom_site_type_symbol
_atom_site_fract_x
_atom_site_fract_y
_atom_site_fract_z
_atom_site_occupancy
Sr1 Sr 0.333 0.667 0.000 1
Sr2 Sr 0.667 0.333 0.000 1
Pm1 Pm 0.000 0.000 0.000 1
Hg1 Hg 0.000 0.332 0.500 1
Hg2 Hg 0.000 0.668 0.500 1
Hg3 Hg 0.332 0.000 0.500 1
Hg4 Hg 0.332 0.332 0.500 1
Hg5 Hg 0.668 0.000 0.500 1
Hg6 Hg 0.668 0.668 0.500 1
# - Density: 10.2 g/cm3


No. 6
# Cs2DyCuCl6, optimized geometry, DFT PBE-GGA
data_Cs2DyCuCl6
_symmetry_space_group_name_H-M 'P 1'
_symmetry_Int_Tables_number 1
_cell_length_a 7.437
_cell_length_b 7.437
_cell_length_c 7.437
_cell_angle_alpha 60.00
_cell_angle_beta 60.00
_cell_angle_gamma 60.00
loop_
_symmetry_equiv_pos_as_xyz
'x,y,z'
loop_
_atom_site_label
_atom_site_type_symbol
_atom_site_fract_x
_atom_site_fract_y
_atom_site_fract_z
_atom_site_occupancy
Cs1 Cs 0.250 0.250 0.250 1
Cs2 Cs 0.750 0.750 0.750 1
Dy1 Dy 0.000 0.000 0.000 1
Cu1 Cu 0.500 0.500 0.500 1
Cl1 Cl 0.252 0.252 0.748 1
Cl2 Cl 0.252 0.748 0.252 1
Cl3 Cl 0.252 0.748 0.748 1
Cl4 Cl 0.748 0.252 0.252 1
Cl5 Cl 0.748 0.252 0.748 1
Cl6 Cl 0.748 0.748 0.252 1
# - Density: 4.0 g/cm3
# - Polymorph energy (0 for the lowest one): 1.5 kJ/mol of atoms
# - Uncorrected formation energy: -1.802 eV per atom


No. 7
# Pr6Ge2SbBr3, optimized geometry, DFT PBE-GGA
data_Pr6Ge2SbBr3
_symmetry_space_group_name_H-M 'P 1'
_symmetry_Int_Tables_number 1
_cell_length_a 9.912
_cell_length_b 9.912
_cell_length_c 8.875
_cell_angle_alpha 103.00
_cell_angle_beta 103.00
_cell_angle_gamma 25.67
loop_
_symmetry_equiv_pos_as_xyz
'x,y,z'
loop_
_atom_site_label
_atom_site_type_symbol
_atom_site_fract_x
_atom_site_fract_y
_atom_site_fract_z
_atom_site_occupancy
Pr1 Pr 0.015 0.015 0.254 1
Pr2 Pr 0.326 0.326 0.433 1
Pr3 Pr 0.331 0.331 0.881 1
Pr4 Pr 0.669 0.669 0.119 1
Pr5 Pr 0.674 0.674 0.567 1
Pr6 Pr 0.985 0.985 0.746 1
Ge1 Ge 0.169 0.169 0.338 1
Ge2 Ge 0.831 0.831 0.662 1
Sb1 Sb 0.500 0.500 0.000 1
Br1 Br 0.164 0.164 0.835 1
Br2 Br 0.500 0.500 0.500 1
Br3 Br 0.836 0.836 0.165 1
# - Density: 6.1 g/cm3
# - Uncorrected formation energy: -1.182 eV per atom


No. 8
# Ca2Sn5Pd3, optimized geometry, DFT PBE-GGA
data_Ca2Sn5Pd3
_symmetry_space_group_name_H-M 'P 1'
_symmetry_Int_Tables_number 1
_cell_length_a 9.158
_cell_length_b 9.158
_cell_length_c 9.158
_cell_angle_alpha 103.79
_cell_angle_beta 90.89
_cell_angle_gamma 138.27
loop_
_symmetry_equiv_pos_as_xyz
'x,y,z'
loop_
_atom_site_label
_atom_site_type_symbol
_atom_site_fract_x
_atom_site_fract_y
_atom_site_fract_z
_atom_site_occupancy
Ca1 Ca 0.149 0.230 0.378 1
Ca2 Ca 0.351 0.730 0.081 1
Ca3 Ca 0.649 0.270 0.919 1
Ca4 Ca 0.851 0.770 0.622 1
Sn1 Sn 0.027 0.750 0.277 1
Sn2 Sn 0.087 0.667 0.753 1
Sn3 Sn 0.250 0.250 0.000 1
Sn4 Sn 0.413 0.167 0.580 1
Sn5 Sn 0.473 0.750 0.723 1
Sn6 Sn 0.527 0.250 0.277 1
Sn7 Sn 0.587 0.833 0.420 1
Sn8 Sn 0.750 0.750 0.000 1
Sn9 Sn 0.913 0.333 0.247 1
Sn10 Sn 0.973 0.250 0.723 1
Pd1 Pd 0.141 0.889 0.030 1
Pd2 Pd 0.250 0.750 0.500 1
Pd3 Pd 0.359 0.389 0.748 1
Pd4 Pd 0.641 0.611 0.252 1
Pd5 Pd 0.750 0.250 0.500 1
Pd6 Pd 0.859 0.111 0.970 1
# - Density: 7.0 g/cm3
# - Polymorph energy (0 for the lowest one): 4.2 kJ/mol of atoms


No. 9
# Li2PmSm2In5, optimized geometry, DFT PBE-GGA
data_Li2PmSm2In5
_symmetry_space_group_name_H-M 'P 1'
_symmetry_Int_Tables_number 1
_cell_length_a 10.498
_cell_length_b 10.498
_cell_length_c 4.442
_cell_angle_alpha 90.00
_cell_angle_beta 90.00
_cell_angle_gamma 90.00
loop_
_symmetry_equiv_pos_as_xyz
'x,y,z'
loop_
_atom_site_label
_atom_site_type_symbol
_atom_site_fract_x
_atom_site_fract_y
_atom_site_fract_z
_atom_site_occupancy
Li1 Li 0.119 0.381 0.000 1
Li2 Li 0.381 0.881 0.000 1
Li3 Li 0.619 0.119 0.000 1
Li4 Li 0.881 0.619 0.000 1
Pm1 Pm 0.000 0.000 0.000 1
Pm2 Pm 0.500 0.500 0.000 1
Sm1 Sm 0.175 0.675 0.000 1
Sm2 Sm 0.325 0.175 0.000 1
Sm3 Sm 0.675 0.825 0.000 1
Sm4 Sm 0.825 0.325 0.000 1
In1 In 0.000 0.500 0.500 1
In2 In 0.073 0.216 0.500 1
In3 In 0.216 0.927 0.500 1
In4 In 0.284 0.427 0.500 1
In5 In 0.427 0.716 0.500 1
In6 In 0.500 0.000 0.500 1
In7 In 0.573 0.284 0.500 1
In8 In 0.716 0.573 0.500 1
In9 In 0.784 0.073 0.500 1
In10 In 0.927 0.784 0.500 1
# - Density: 7.0 g/cm3


No. 10
# Rb3Pa3ReN8, optimized geometry, DFT PBE-GGA
data_Rb3Pa3ReN8
_symmetry_space_group_name_H-M 'P 1'
_symmetry_Int_Tables_number 1
_cell_length_a 7.860
_cell_length_b 7.860
_cell_length_c 7.860
_cell_angle_alpha 52.22
_cell_angle_beta 52.22
_cell_angle_gamma 52.22
loop_
_symmetry_equiv_pos_as_xyz
'x,y,z'
loop_
_atom_site_label
_atom_site_type_symbol
_atom_site_fract_x
_atom_site_fract_y
_atom_site_fract_z
_atom_site_occupancy
Rb1 Rb 0.000 0.500 0.500 1
Rb2 Rb 0.500 0.000 0.500 1
Rb3 Rb 0.500 0.500 0.000 1
Pa1 Pa 0.000 0.000 0.500 1
Pa2 Pa 0.000 0.500 0.000 1
Pa3 Pa 0.500 0.000 0.000 1
Re1 Re 0.500 0.500 0.500 1
N1 N 0.219 0.219 0.219 1
N2 N 0.242 0.703 0.703 1
N3 N 0.297 0.297 0.758 1
N4 N 0.297 0.758 0.297 1
N5 N 0.703 0.242 0.703 1
N6 N 0.703 0.703 0.242 1
N7 N 0.758 0.297 0.297 1
N8 N 0.781 0.781 0.781 1
# - Density: 7.4 g/cm3
# - Uncorrected formation energy: -0.832 eV per atom


No. 11
# ReRhI3, optimized geometry, DFT PBE-GGA
data_ReRhI3
_symmetry_space_group_name_H-M 'P 1'
_symmetry_Int_Tables_number 1
_cell_length_a 5.467
_cell_length_b 5.467
_cell_length_c 5.467
_cell_angle_alpha 90.00
_cell_angle_beta 90.00
_cell_angle_gamma 90.00
loop_
_symmetry_equiv_pos_as_xyz
'x,y,z'
loop_
_atom_site_label
_atom_site_type_symbol
_atom_site_fract_x
_atom_site_fract_y
_atom_site_fract_z
_atom_site_occupancy
Re1 Re 0.000 0.000 0.000 1
Rh1 Rh 0.500 0.500 0.500 1
I1 I 0.000 0.000 0.500 1
I2 I 0.000 0.500 0.000 1
I3 I 0.500 0.000 0.000 1
# - Density: 6.8 g/cm3
# - Polymorph energy (0 for the lowest one): 14.1 kJ/mol of atoms
# - Uncorrected formation energy: 1.392 eV per atom


No. 12
# Cs2NbSiCl6, optimized geometry, DFT PBE-GGA
data_Cs2NbSiCl6
_symmetry_space_group_name_H-M 'P 1'
_symmetry_Int_Tables_number 1
_cell_length_a 7.409
_cell_length_b 7.409
_cell_length_c 7.409
_cell_angle_alpha 60.00
_cell_angle_beta 60.00
_cell_angle_gamma 60.00
loop_
_symmetry_equiv_pos_as_xyz
'x,y,z'
loop_
_atom_site_label
_atom_site_type_symbol
_atom_site_fract_x
_atom_site_fract_y
_atom_site_fract_z
_atom_site_occupancy
Cs1 Cs 0.250 0.250 0.250 1
Cs2 Cs 0.750 0.750 0.750 1
Nb1 Nb 0.000 0.000 0.000 1
Si1 Si 0.500 0.500 0.500 1
Cl1 Cl 0.249 0.249 0.751 1
Cl2 Cl 0.249 0.751 0.249 1
Cl3 Cl 0.249 0.751 0.751 1
Cl4 Cl 0.751 0.249 0.249 1
Cl5 Cl 0.751 0.249 0.751 1
Cl6 Cl 0.751 0.751 0.249 1
# - Density: 3.5 g/cm3
# - Uncorrected formation energy: -1.185 eV per atom


Number 1: uncorrected energy -11.78 eV/cell, density of states at the Fermi level 0.623 states/eV per atom. Number 2: uncorrected energy -53.38 eV/cell, density of states at the Fermi level 0.864 states/eV per atom. Number 3: uncorrected energy -47.50 eV/cell, density of states at the Fermi level 0.250 states/eV per atom. Number 4: uncorrected energy -16.41 eV/cell, density of states at the Fermi level 0.862 states/eV per atom. Number 5: uncorrected energy -13.93 eV/cell, density of states at the Fermi level 0.597 states/eV per atom. Number 6: uncorrected energy -39.51 eV/cell, density of states at the Fermi level 0.000 states/eV per atom. Number 7: uncorrected energy -61.24 eV/cell, density of states at the Fermi level 0.375 states/eV per atom. Number 8: uncorrected energy -91.40 eV/cell, density of states at the Fermi level 0.286 states/eV per atom. Number 9: uncorrected energy -71.58 eV/cell, density of states at the Fermi level 0.532 states/eV per atom. Number 10: uncorrected energy -122.92 eV/cell, density of states at the Fermi level 0.103 states/eV per atom. Number 11: uncorrected energy -17.49 eV/cell, density of states at the Fermi level 3.366 states/eV per atom. Number 12: uncorrected energy -40.13 eV/cell, density of states at the Fermi level 0.000 states/eV per atom.